Entry 1:
Here is a relaxed SrAg2Cl crystal from Alexandria via LeMat-Bulk. Energies are from PBE-GGA.

Cell lengths 4.0814, 4.0814, 6.1252 Å; angles 90.00, 90.00, 90.00 degrees
Last column: nearest neighbours and their distance in Å.
Space group P4/mmm (No. 123)
Unique sites:
Sr: 0.0000 0.0000 0.0000 (multiplicity 1)  4 Cl 2.89
Ag: 0.0000 0.5000 0.5000 (multiplicity 2)  4 Ag 2.89
Cl: 0.5000 0.5000 0.0000 (multiplicity 1)  4 Sr 2.89

The density of states at the Fermi level is 0.0715 states/eV/atom. Its uncorrected formation energy is -0.731 eV/atom.

Entry 2:
Here is a relaxed Tb2Pm3Dy6 crystal from Alexandria via LeMat-Bulk. Energies are from PBE-GGA.

Cell lengths 5.7038, 12.0912, 10.5023 Å; angles 90.00, 90.05, 90.00 degrees
Last column: nearest neighbours and their distance in Å.
Space group C2/m (No. 12)
Unique sites:
Tb: 0.0000 0.1331 0.0000 (multiplicity 4)  1 Tb 3.22, 8 Dy 3.35-3.55
Pm: 0.0000 0.2060 0.5000 (multiplicity 4)  2 Pm 3.04, 2 Dy 3.33
Pm: 0.0000 0.5000 0.5000 (multiplicity 2)  6 Pm 3.55-3.79, 8 Dy 3.60-3.65
Dy: 0.0008 0.0000 0.2895 (multiplicity 4)  4 Pm 3.33-3.61, 2 Tb 3.44, 4 Dy 3.52
Dy: 0.0006 0.3490 0.1993 (multiplicity 8)  3 Tb 3.35-3.55, 5 Dy 3.52-3.72, 2 Pm 3.60-3.65

The density of states at the Fermi level is 1.5342 states/eV/atom. As for the formation enthalpy at 0 K: 0.1543 eV/atom.

Entry 3:
Here is a relaxed NdSmThCd crystal from Alexandria via LeMat-Bulk. Energies are from PBE-GGA.

Cell lengths 7.8689, 7.8689, 7.8689 Å; angles 90.00, 90.00, 90.00 degrees
Last column: nearest neighbours and their distance in Å.
Space group F-43m (No. 216)
Unique sites:
Nd: 0.0000 0.0000 0.0000 (multiplicity 4)  4 Cd 3.41, 4 Th 3.41
Sm: 0.0000 0.0000 0.5000 (multiplicity 4)  4 Cd 3.41, 4 Th 3.41
Th: 0.2500 0.2500 0.2500 (multiplicity 4)  4 Nd 3.41, 4 Sm 3.41
Cd: 0.2500 0.2500 0.7500 (multiplicity 4)  4 Nd 3.41, 4 Sm 3.41

The density of states at the Fermi level is 1.6016 states/eV/atom. As for the formation enthalpy at 0 K: 0.0768 eV/atom.

Entry 4:
Here is a relaxed CoNiIN2 crystal from Alexandria via LeMat-Bulk. Energies are from PBE-GGA.

Cell lengths 3.5393, 3.5393, 7.7529 Å; angles 90.00, 90.00, 90.00 degrees
Last column: nearest neighbours and their distance in Å.
Space group P4/mmm (No. 123)
Unique sites:
Co: 0.0000 0.0000 0.0000 (multiplicity 1)  4 N 1.77
Ni: 0.5000 0.5000 0.5000 (multiplicity 1)  4 I 2.50
I: 0.0000 0.0000 0.5000 (multiplicity 1)  4 Ni 2.50
N: 0.0000 0.5000 0.0000 (multiplicity 2)  2 Co 1.77

The density of states at the Fermi level is 1.2539 states/eV/atom. Its uncorrected formation energy is 1.118 eV/atom.

Entry 5:
Here is a relaxed RbLiTa2S6 crystal from Alexandria via LeMat-Bulk. Energies are from PBE-GGA.

Cell lengths 13.2259, 14.0288, 7.2691 Å; angles 90.00, 108.94, 90.00 degrees
Last column: nearest neighbours and their distance in Å.
Space group C2/c (No. 15)
Unique sites:
Rb: 0.0000 0.1171 0.2500 (multiplicity 4)  6 S 3.29-3.47
Li: 0.0000 0.2236 0.7500 (multiplicity 4)  4 S 2.47-2.54
Ta: 0.1946 0.4257 0.1967 (multiplicity 8)  4 S 2.21-2.37
S: 0.1152 0.2926 0.0604 (multiplicity 8)  1 Ta 2.21, 1 Li 2.47
S: 0.1285 0.0948 0.7183 (multiplicity 8)  1 Ta 2.24
S: 0.1421 0.4453 0.4770 (multiplicity 8)  2 Ta 2.36-2.37

The density of states at the Fermi level is 0.0000 states/eV/atom. Its uncorrected formation energy is -0.972 eV/atom.

Entry 6:
Here is a relaxed BaY2Au crystal from Alexandria via LeMat-Bulk. Energies are from PBE-GGA.

Cell lengths 4.0514, 4.8474, 7.0736 Å; angles 90.00, 106.47, 90.00 degrees
Last column: nearest neighbours and their distance in Å.
Space group P2/m (No. 10)
Unique sites:
Ba: 0.0000 0.0000 0.0000 (multiplicity 1)  2 Au 3.54, 8 Y 3.73-3.78
Y: 0.3624 0.5000 0.7000 (multiplicity 2)  2 Au 2.98, 1 Y 3.32
Au: 0.0000 0.0000 0.5000 (multiplicity 1)  4 Y 2.98

The density of states at the Fermi level is 1.1690 states/eV/atom. As for the formation enthalpy at 0 K: -0.1177 eV/atom.

Entry 7:
Here is a relaxed Nd2YCo9 crystal from Alexandria via LeMat-Bulk. Energies are from PBE-GGA.

Cell lengths 5.0073, 5.0073, 24.9043 Å; angles 90.00, 90.00, 120.00 degrees
Last column: nearest neighbours and their distance in Å.
Space group R-3m (No. 166, hexagonal axes)
Unique sites:
Nd: 0.0000 0.0000 0.1395 (multiplicity 6)  12 Co 2.93-3.22, 3 Nd 3.19
Y: 0.0000 0.0000 0.0000 (multiplicity 3)  18 Co 2.89-3.18
Co: 0.0000 0.0000 0.3332 (multiplicity 6)  6 Co 2.43-2.44
Co: 0.0000 0.0000 0.5000 (multiplicity 3)  6 Co 2.62
Co: 0.0029 0.5014 0.0786 (multiplicity 18)  7 Co 2.43-2.62

The density of states at the Fermi level is 1.4527 states/eV/atom. As for the formation enthalpy at 0 K: -0.0791 eV/atom.

Entry 8:
Here is a relaxed YTa2Mn crystal from Alexandria via LeMat-Bulk. Energies are from PBE-GGA.

Cell lengths 4.0487, 4.0487, 4.8189 Å; angles 90.00, 90.00, 90.00 degrees
Last column: nearest neighbours and their distance in Å.
Space group P4/mmm (No. 123)
Unique sites:
Y: 0.0000 0.0000 0.0000 (multiplicity 1)  4 Mn 2.86, 8 Ta 3.15
Ta: 0.0000 0.5000 0.5000 (multiplicity 2)  4 Ta 2.86, 4 Mn 3.15, 4 Y 3.15
Mn: 0.5000 0.5000 0.0000 (multiplicity 1)  4 Y 2.86, 8 Ta 3.15

The density of states at the Fermi level is 1.5272 states/eV/atom. As for the formation enthalpy at 0 K: 0.4738 eV/atom.

Entry 9:
Here is a relaxed Hf2Zn15Ag2 crystal from Alexandria via LeMat-Bulk. Energies are from PBE-GGA.

Cell lengths 8.8677, 8.8677, 12.9884 Å; angles 90.00, 90.00, 120.00 degrees
Last column: nearest neighbours and their distance in Å.
Space group R-3m (No. 166, hexagonal axes)
Unique sites:
Hf: 0.0000 0.0000 0.1535 (multiplicity 6)  12 Zn 3.03-3.29, 1 Ag 3.07
Zn: 0.0000 0.3037 0.5000 (multiplicity 18)  8 Zn 2.56-2.75
Zn: 0.0000 0.5000 0.0000 (multiplicity 9)  8 Zn 2.56-2.62, 2 Ag 2.66
Zn: 0.0142 0.5071 0.6509 (multiplicity 18)  8 Zn 2.48-2.75
Ag: 0.0000 0.0000 0.3898 (multiplicity 6)  6 Zn 2.66-2.83, 1 Ag 2.86

The density of states at the Fermi level is 0.2197 states/eV/atom. As for the formation enthalpy at 0 K: -0.0765 eV/atom.

Entry 10:
Here is a relaxed Ag2PbS2 crystal from Alexandria via LeMat-Bulk. Energies are from PBE-GGA.

Cell lengths 4.1743, 4.1743, 21.8810 Å; angles 90.00, 90.00, 120.00 degrees
Last column: nearest neighbours and their distance in Å.
Space group R-3m (No. 166, hexagonal axes)
Unique sites:
Ag: 0.0000 0.0000 0.2063 (multiplicity 6)  3 S 2.61
Pb: 0.0000 0.0000 0.0000 (multiplicity 3)  6 S 2.99
S: 0.0000 0.0000 0.4142 (multiplicity 6)  3 Ag 2.61

The density of states at the Fermi level is 0.1009 states/eV/atom. Its uncorrected formation energy is -0.166 eV/atom.

Entry 11:
Here is a relaxed PbBr crystal from Alexandria via LeMat-Bulk. Energies are from PBE-GGA.

Cell lengths 14.8158, 3.9015, 8.1474 Å; angles 90.00, 114.65, 90.00 degrees
Last column: nearest neighbours and their distance in Å.
Space group Cm (No. 8)
Unique sites:
Pb: 0.0000 0.0000 0.0000 (multiplicity 2)  4 Br 3.05-3.11
Pb: 0.1134 0.0000 0.4654 (multiplicity 2)  1 Br 2.93
Pb: 0.2378 0.5000 0.2836 (multiplicity 2)  3 Br 3.00-3.28
Br: 0.1196 0.5000 0.8811 (multiplicity 2)  3 Pb 3.00-3.05
Br: 0.3312 0.0000 0.6397 (multiplicity 2)  1 Pb 2.93
Br: 0.4108 0.0000 0.1908 (multiplicity 2)  2 Pb 3.11

The density of states at the Fermi level is 0.1549 states/eV/atom. Its uncorrected formation energy is -0.517 eV/atom.

Entry 12:
Here is a relaxed Na2PrCuO4 crystal from Alexandria via LeMat-Bulk. Energies are from PBE-GGA.

Cell lengths 5.7148, 5.7148, 6.3653 Å; angles 90.00, 90.00, 90.00 degrees
Last column: nearest neighbours and their distance in Å.
Space group I-4 (No. 82)
Unique sites:
Na: 0.0000 0.0000 0.0000 (multiplicity 2)  4 O 2.20
Na: 0.0000 0.5000 0.2500 (multiplicity 2)  8 O 2.57-2.59
Pr: 0.0000 0.5000 0.7500 (multiplicity 2)  8 O 2.57-2.58
Cu: 0.0000 0.0000 0.5000 (multiplicity 2)  4 O 1.85
O: 0.2269 0.7703 0.4991 (multiplicity 8)  1 Cu 1.85

Its uncorrected formation energy is -1.727 eV/atom.

Entry 13:
Here is a relaxed BeReGePd2 crystal from Alexandria via LeMat-Bulk. Energies are from PBE-GGA.

Cell lengths 4.6504, 4.6504, 4.0560 Å; angles 90.00, 90.00, 90.00 degrees
Last column: nearest neighbours and their distance in Å.
Space group P4/mmm (No. 123)
Unique sites:
Be: 0.0000 0.0000 0.0000 (multiplicity 1)  2 Ge 2.03
Re: 0.5000 0.5000 0.0000 (multiplicity 1)  8 Pd 3.09, 4 Be 3.29
Ge: 0.0000 0.0000 0.5000 (multiplicity 1)  2 Be 2.03
Pd: 0.0000 0.5000 0.5000 (multiplicity 2)  2 Ge 2.33

The density of states at the Fermi level is 0.6720 states/eV/atom. As for the formation enthalpy at 0 K: 1.0976 eV/atom.

Entry 14:
Here is a relaxed CuAgPCl2 crystal from Alexandria via LeMat-Bulk. Energies are from PBE-GGA.

Cell lengths 5.1057, 5.1057, 4.8609 Å; angles 90.00, 90.00, 90.00 degrees
Last column: nearest neighbours and their distance in Å.
Space group P4/mmm (No. 123)
Unique sites:
Cu: 0.0000 0.0000 0.0000 (multiplicity 1)  8 Cl 3.52, 4 P 3.61
Ag: 0.5000 0.5000 0.5000 (multiplicity 1)  2 P 2.43, 4 Cl 2.55
P: 0.5000 0.5000 0.0000 (multiplicity 1)  2 Ag 2.43
Cl: 0.0000 0.5000 0.5000 (multiplicity 2)  2 Ag 2.55

The density of states at the Fermi level is 0.7306 states/eV/atom. Its uncorrected formation energy is 0.696 eV/atom.

Entry 15:
Here is a relaxed PrNdOs crystal from Alexandria via LeMat-Bulk. Energies are from PBE-GGA.

Cell lengths 3.5040, 3.5040, 14.0512 Å; angles 90.00, 90.00, 90.00 degrees
Last column: nearest neighbours and their distance in Å.
Space group I4mm (No. 107)
Unique sites:
Pr: 0.0000 0.0000 0.0000 (multiplicity 2)  4 Os 3.03
Nd: 0.0000 0.0000 0.2452 (multiplicity 2)  4 Os 3.01
Os: 0.0000 0.0000 0.6239 (multiplicity 2)  4 Nd 3.01, 4 Pr 3.03

The density of states at the Fermi level is 0.6581 states/eV/atom. As for the formation enthalpy at 0 K: -0.0023 eV/atom.

Entry 16:
Here is a relaxed RbBe2ZnCl8 crystal from Alexandria via LeMat-Bulk. Energies are from PBE-GGA.

Cell lengths 6.0979, 6.0979, 27.4705 Å; angles 90.00, 90.00, 120.00 degrees
Last column: nearest neighbours and their distance in Å.
Space group R-3 (No. 148, hexagonal axes)
Unique sites:
Rb: 0.0000 0.0000 0.0000 (multiplicity 3)  12 Cl 3.56-3.78
Be: 0.0000 0.0000 0.2407 (multiplicity 6)  4 Cl 2.02-2.03
Zn: 0.0000 0.0000 0.5000 (multiplicity 3)  6 Cl 2.50
Cl: 0.0000 0.0000 0.3142 (multiplicity 6)  1 Be 2.02
Cl: 0.0082 0.3522 0.8863 (multiplicity 18)  1 Be 2.03

The density of states at the Fermi level is 1.3880 states/eV/atom. Its uncorrected formation energy is -1.223 eV/atom.

Entry 17:
Here is a relaxed NiMoAsRu crystal from Alexandria via LeMat-Bulk. Energies are from PBE-GGA.

Cell lengths 6.0302, 6.0302, 6.0302 Å; angles 90.00, 90.00, 90.00 degrees
Last column: nearest neighbours and their distance in Å.
Space group F-43m (No. 216)
Unique sites:
Ni: 0.0000 0.0000 0.0000 (multiplicity 4)  4 Mo 2.61, 4 Ru 2.61
Mo: 0.2500 0.2500 0.2500 (multiplicity 4)  4 As 2.61, 4 Ni 2.61
As: 0.0000 0.0000 0.5000 (multiplicity 4)  4 Mo 2.61, 4 Ru 2.61
Ru: 0.2500 0.2500 0.7500 (multiplicity 4)  4 As 2.61, 4 Ni 2.61

The density of states at the Fermi level is 0.6800 states/eV/atom. As for the formation enthalpy at 0 K: -0.0277 eV/atom.

Entry 18:
Here is a relaxed Pm3SmB4O12 crystal from Alexandria via LeMat-Bulk. Energies are from PBE-GGA.

Cell lengths 10.2928, 10.2928, 8.8251 Å; angles 90.00, 90.00, 120.00 degrees
Last column: nearest neighbours and their distance in Å.
Space group R32 (No. 155, hexagonal axes)
Unique sites:
Pm: 0.0000 0.5254 0.0000 (multiplicity 9)  6 O 2.35-2.36
Sm: 0.0000 0.0000 0.0000 (multiplicity 3)  6 O 2.45
B: 0.0000 0.0000 0.5000 (multiplicity 3)  3 O 1.38
B: 0.0000 0.4732 0.5000 (multiplicity 9)  3 O 1.37-1.40
O: 0.0000 0.6067 0.5000 (multiplicity 9)  1 B 1.37
O: 0.0000 0.8662 0.5000 (multiplicity 9)  1 B 1.38
O: 0.0063 0.1955 0.8359 (multiplicity 18)  1 B 1.40

The density of states at the Fermi level is 0.0000 states/eV/atom. Its uncorrected formation energy is -3.009 eV/atom.

Entry 19:
Here is a relaxed NaCoSnHg2 crystal from Alexandria via LeMat-Bulk. Energies are from PBE-GGA.

Cell lengths 5.1253, 5.1253, 4.7937 Å; angles 90.00, 90.00, 90.00 degrees
Last column: nearest neighbours and their distance in Å.
Space group P4/mmm (No. 123)
Unique sites:
Na: 0.0000 0.0000 0.0000 (multiplicity 1)  8 Hg 3.51, 4 Sn 3.62
Co: 0.5000 0.5000 0.5000 (multiplicity 1)  2 Sn 2.40, 4 Hg 2.56
Sn: 0.5000 0.5000 0.0000 (multiplicity 1)  2 Co 2.40
Hg: 0.0000 0.5000 0.5000 (multiplicity 2)  2 Co 2.56

The density of states at the Fermi level is 0.5008 states/eV/atom. As for the formation enthalpy at 0 K: 0.0148 eV/atom.

Entry 20:
Here is a relaxed CsHoCdSe3 crystal from Alexandria via LeMat-Bulk. Energies are from PBE-GGA.

Cell lengths 9.5520, 4.2945, 10.6245 Å; angles 90.00, 111.21, 90.00 degrees
Last column: nearest neighbours and their distance in Å.
Space group P2_1/m (No. 11)
Unique sites:
Cs: 0.2225 0.2500 0.2438 (multiplicity 2)  7 Se 3.64-3.94
Ho: 0.3318 0.7500 0.8683 (multiplicity 2)  6 Se 2.79-3.12
Cd: 0.0836 0.2500 0.6137 (multiplicity 2)  4 Se 2.61-2.80
Se: 0.1250 0.2500 0.8709 (multiplicity 2)  1 Cd 2.61, 2 Ho 2.92
Se: 0.2197 0.7500 0.5539 (multiplicity 2)  3 Cd 2.70-2.80
Se: 0.4758 0.7500 0.1487 (multiplicity 2)  3 Ho 2.79-2.87

The density of states at the Fermi level is 0.0000 states/eV/atom. Its uncorrected formation energy is -1.354 eV/atom.

no.,E (eV per atom)
1,-3.039
2,-4.493
3,-4.379
4,-5.099
5,-6.107
6,-4.650
7,-6.742
8,-9.361
9,-2.430
10,-3.699
11,-3.207
12,-5.645
13,-5.138
14,-2.514
15,-6.928
16,-3.262
17,-7.662
18,-8.268
19,-2.591
20,-4.154